Density functional theory data (PBE-GGA) for Th4H8N3 after structural relaxation.

Results
Size of the total moment = 0.00 μB per cell
Calculated density = 10.20 g/cm³
Space-group type = No. 225
Raw total energy = -92.76 eV per formula unit

Cell lengths 7.665, 7.665, 7.665 Å; angles 60.00, 60.00, 60.00 degrees
Fractional positions:
Th: 0.000 0.000 0.000
Th: 0.000 0.000 0.500
Th: 0.000 0.500 0.000
Th: 0.000 0.500 0.500
Th: 0.500 0.000 0.000
Th: 0.500 0.000 0.500
Th: 0.500 0.500 0.000
Th: 0.500 0.500 0.500
H: 0.022 0.326 0.326
H: 0.126 0.126 0.126
H: 0.126 0.126 0.622
H: 0.126 0.622 0.126
H: 0.326 0.022 0.326
H: 0.326 0.326 0.022
H: 0.326 0.326 0.326
H: 0.378 0.874 0.874
H: 0.622 0.126 0.126
H: 0.674 0.674 0.674
H: 0.674 0.674 0.978
H: 0.674 0.978 0.674
H: 0.874 0.378 0.874
H: 0.874 0.874 0.378
H: 0.874 0.874 0.874
H: 0.978 0.674 0.674
N: 0.274 0.274 0.726
N: 0.274 0.726 0.274
N: 0.274 0.726 0.726
N: 0.726 0.274 0.274
N: 0.726 0.274 0.726
N: 0.726 0.726 0.274